Record 1
A geometry-optimized Cd2MoBr8 structure, computed with PBE-GGA.

Calculated values
For the uncorrected energy, the calculation gives -0.1095 Ha/atom. The calculation puts the uncorrected formation energy at -611.9 meV per atom. Its symmetry is C2/m (12).

abc: 8.925 8.925 6.704
angles: 92.35 92.35 49.18
Fractional positions:
Cd  0.156  0.156  0.445
Cd  0.844  0.844  0.555
Mo  0.000  0.000  0.000
Br  0.142  0.142  0.846
Br  0.189  0.705  0.753
Br  0.295  0.811  0.247
Br  0.307  0.307  0.368
Br  0.693  0.693  0.632
Br  0.705  0.189  0.753
Br  0.811  0.295  0.247
Br  0.858  0.858  0.154

***

Record 2
A geometry-optimized Cd2MoBr structure, computed with PBE-GGA.

Calculated values
For the uncorrected energy, the calculation gives -0.1248 Ha/atom. The value obtained for the energy above the lowest structure with this stoichiometry is 0.0 meV per atom. The calculation puts the uncorrected formation energy at 186.6 meV per atom. Its symmetry is R3m (160).

abc: 10.944 10.944 10.944
angles: 16.51 16.51 16.51
Fractional positions:
Cd  0.000  0.000  0.000
Cd  0.246  0.246  0.246
Mo  0.507  0.507  0.507
Br  0.786  0.786  0.786